DyTlZn | OQMD | PBE | optimized geometry; M_tot = 0.0 μB/f.u.; E_tot = -3.0843 eV per atom
1.0
4.6793 0.0000 0.0000
-2.3397 4.0524 0.0000
0.0000 0.0000 7.3516
Dy Tl Zn
2 2 2
Direct
0.0000 0.0000 0.0000
0.0000 0.0000 0.5000
0.3333 0.6667 0.2208
0.6667 0.3333 0.7208
0.3333 0.6667 0.8033
0.6667 0.3333 0.3033